# 1
This record from the Alexandria database describes a relaxed structure of IrS2ICl. The functional is PBE-GGA.

Cell lengths 4.7094, 4.7094, 4.8484 Å; angles 90.00, 90.00, 90.00 degrees
Last column: nearest neighbours and their distance in Å.
Atoms (fractional coordinates):
S 0.5000 0.0000 0.0000  2 Ir 2.35
S 0.0000 0.5000 0.0000  2 Ir 2.35
Ir 0.0000 0.0000 0.0000  4 S 2.35, 2 Cl 2.42
Cl 0.0000 0.0000 0.5000  2 Ir 2.42
I 0.5000 0.5000 0.5000  4 Cl 3.33, 8 S 3.38

Calculated values
Calculated density = 6.47 g/cm3
M_tot = 0.00 μB per cell
E_form (uncorrected) = 378 meV per atom
Energy above the lowest structure with this stoichiometry = 0.0 kJ/mol of atoms
V = 21.51 Å³ per atom
Space group = P4/mmm (123)

# 2
This record from the Alexandria database describes a relaxed structure of SiIrI2Cl. The functional is PBE-GGA.

Cell lengths 5.5653, 4.5857, 5.5653 Å; angles 90.00, 90.00, 90.00 degrees
Last column: nearest neighbours and their distance in Å.
Atoms (fractional coordinates):
Ir 0.0000 0.5000 0.0000  2 Si 2.29
I 0.5000 0.0000 0.0000  2 Si 2.78
I 0.0000 0.0000 0.5000  2 Si 2.78
Si 0.0000 0.0000 0.0000  2 Ir 2.29
Cl 0.5000 0.5000 0.5000  8 I 3.61, 4 Ir 3.94

Calculated values
Calculated density = 5.96 g/cm3
M_tot = 1.67 μB per cell
E_form (uncorrected) = 804 meV per atom
V = 28.41 Å³ per atom
Space group = P4/mmm (123)